Computed, not measured: a geometry-optimized TbNdCd structure at the GGA-PBE level of DFT.

Values from the calculation:
The formation energy from the elements is -0.59 eV/f.u. The density is 7.75 g cm⁻³. The volume is 29.70 A^3/atom. Its magnetization is 0.12 μB per atom.

Cell: 7.038 7.038 7.038 Å, 149.59 149.59 43.55°
Sites, in units of the cell vectors:
Tb 0.000 0.000 0.000
Nd 0.689 0.689 0.000
Cd 0.352 0.352 0.000

***

Computed, not measured: a geometry-optimized Tb2Nd2Cd3 structure at the GGA-PBE level of DFT.

Values from the calculation:
The formation energy from the elements is -1.02 eV/f.u. The density is 7.49 g cm⁻³. The volume is 29.89 A^3/atom. Its magnetization is 0.09 μB per atom.

Cell: 5.362 5.362 8.941 Å, 107.40 107.40 60.13°
Sites, in units of the cell vectors:
Tb 0.131 0.131 0.391
Tb 0.869 0.869 0.609
Nd 0.386 0.386 0.158
Nd 0.614 0.614 0.842
Cd 0.000 0.000 0.000
Cd 0.253 0.253 0.762
Cd 0.747 0.747 0.238

***

Computed, not measured: a geometry-optimized TbNd3Cd2 structure at the GGA-PBE level of DFT.

Values from the calculation:
The formation energy from the elements is -1.17 eV/f.u. The density is 7.42 g cm⁻³. The volume is 30.47 A^3/atom. Its magnetization is 0.04 μB per atom.

Cell: 3.771 3.771 12.860 Å, 90.00 90.00 90.00°
Sites, in units of the cell vectors:
Tb 0.000 0.000 0.000
Nd 0.500 0.500 0.191
Nd 0.500 0.500 0.500
Nd 0.500 0.500 0.809
Cd 0.000 0.000 0.344
Cd 0.000 0.000 0.656

***

Computed, not measured: a geometry-optimized TbNd2Cd structure at the GGA-PBE level of DFT.

Values from the calculation:
The formation energy from the elements is -0.20 eV/f.u. The density is 7.25 g cm⁻³. The volume is 32.05 A^3/atom. Its magnetization is 0.00 μB per atom.

Cell: 11.267 11.267 11.267 Å, 18.68 18.68 18.68°
Sites, in units of the cell vectors:
Tb 0.000 0.000 0.000
Nd 0.245 0.245 0.245
Nd 0.421 0.421 0.421
Cd 0.833 0.833 0.833

***

Computed, not measured: a geometry-optimized Tb4Nd9Cd11 structure at the GGA-PBE level of DFT.

Values from the calculation:
The formation energy from the elements is -5.87 eV/f.u. The density is 7.72 g cm⁻³. The volume is 28.40 A^3/atom. Its magnetization is 0.02 μB per atom.

Cell: 14.222 14.222 3.614 Å, 90.00 90.00 111.16°
Sites, in units of the cell vectors:
Tb 0.064 0.247 0.000
Tb 0.247 0.064 0.000
Tb 0.753 0.936 0.000
Tb 0.936 0.753 0.000
Nd 0.000 0.000 0.000
Nd 0.126 0.649 0.000
Nd 0.292 0.464 0.000
Nd 0.351 0.874 0.000
Nd 0.464 0.292 0.000
Nd 0.536 0.708 0.000
Nd 0.649 0.126 0.000
Nd 0.708 0.536 0.000
Nd 0.874 0.351 0.000
Cd 0.085 0.444 0.500
Cd 0.134 0.866 0.500
Cd 0.251 0.251 0.500
Cd 0.331 0.669 0.500
Cd 0.444 0.085 0.500
Cd 0.500 0.500 0.500
Cd 0.556 0.915 0.500
Cd 0.669 0.331 0.500
Cd 0.749 0.749 0.500
Cd 0.866 0.134 0.500
Cd 0.915 0.556 0.500

***

Computed, not measured: a geometry-optimized Tb7Nd12Cd structure at the GGA-PBE level of DFT.

Values from the calculation:
The formation energy from the elements is 0.98 eV/f.u. The density is 7.33 g cm⁻³. The volume is 33.49 A^3/atom. Its magnetization is 0.00 μB per atom.

Cell: 8.881 8.881 8.881 Å, 99.21 99.21 99.21°
Sites, in units of the cell vectors:
Tb 0.000 0.000 0.000
Tb 0.172 0.589 0.589
Tb 0.411 0.411 0.828
Tb 0.411 0.828 0.411
Tb 0.589 0.172 0.589
Tb 0.589 0.589 0.172
Tb 0.828 0.411 0.411
Nd 0.000 0.261 0.739
Nd 0.000 0.739 0.261
Nd 0.149 0.149 0.414
Nd 0.149 0.414 0.149
Nd 0.261 0.000 0.739
Nd 0.261 0.739 0.000
Nd 0.414 0.149 0.149
Nd 0.586 0.851 0.851
Nd 0.739 0.000 0.261
Nd 0.739 0.261 0.000
Nd 0.851 0.586 0.851
Nd 0.851 0.851 0.586
Cd 0.500 0.500 0.500

***

Computed, not measured: a geometry-optimized Tb8Nd2Cd structure at the GGA-PBE level of DFT.

Values from the calculation:
The formation energy from the elements is -0.04 eV/f.u. The density is 8.04 g cm⁻³. The volume is 31.41 A^3/atom. Its magnetization is 0.00 μB per atom.

Cell: 6.141 6.151 9.344 Å, 90.03 96.38 99.85°
Sites, in units of the cell vectors:
Tb 0.045 0.094 0.176
Tb 0.232 0.462 0.911
Tb 0.311 0.641 0.268
Tb 0.412 0.821 0.643
Tb 0.588 0.179 0.357
Tb 0.689 0.359 0.732
Tb 0.768 0.538 0.089
Tb 0.955 0.906 0.824
Nd 0.135 0.276 0.542
Nd 0.865 0.724 0.458
Cd 0.500 0.000 0.000

***

Computed, not measured: a geometry-optimized TbNd4Cd structure at the GGA-PBE level of DFT.

Values from the calculation:
The formation energy from the elements is 0.00 eV/f.u. The density is 7.13 g cm⁻³. The volume is 32.91 A^3/atom. Its magnetization is 0.00 μB per atom.

Cell: 8.521 8.521 6.442 Å, 100.08 100.08 116.45°
Sites, in units of the cell vectors:
Tb 0.088 0.912 0.750
Tb 0.912 0.088 0.250
Nd 0.096 0.332 0.876
Nd 0.211 0.593 0.454
Nd 0.332 0.096 0.376
Nd 0.407 0.789 0.046
Nd 0.593 0.211 0.954
Nd 0.668 0.904 0.624
Nd 0.789 0.407 0.546
Nd 0.904 0.668 0.124
Cd 0.499 0.501 0.750
Cd 0.501 0.499 0.250